## Mn2TcIrO (PBE with a Hubbard U)

Data for Mn2TcIrO after structural relaxation.

Cell: 5.1425 3.6436 5.1425 Å, 90.00 90.00 90.00°
Fractional coordinates of all 5 atoms:
O 0.0000 0.5000 0.0000
Tc 0.5000 0.5000 0.5000
Mn 0.5000 0.0000 0.0000
Ir 0.0000 0.0000 0.0000
Mn 0.0000 0.0000 0.5000

Values from the calculation:
symmetry = P4/mmm
N(E_F) = 0.9961 states/eV per atom
DFT total energy = -7.032 eV/atom
volume = 96.36 Å³/cell